Density functional theory data (PBE-GGA) for crystalline Li2GeBr4 at its relaxed geometry.

The calculation puts the energy above the most stable polymorph in this dataset at 0 meV/atom. The raw formation energy comes out at -106 kJ per mole of atoms.

Lattice parameters (Å, degrees): 8.1835 7.7814 9.8903 53.57 49.91 76.51
Element x y z (fractional)
Li (0.0025, 0.4975, 0.0520)
Li (0.1980, 0.8020, 0.2475)
Li (0.4975, 0.0025, 0.4480)
Li (0.8020, 0.1980, 0.7525)
Ge (0.2439, 0.2439, 0.7561)
Ge (0.4939, 0.4939, 0.0061)
Br (0.0640, 0.4575, 0.2961)
Br (0.0676, 0.9539, 0.7925)
Br (0.4364, 0.5709, 0.7219)
Br (0.4575, 0.0640, 0.1824)
Br (0.5281, 0.9792, 0.8136)
Br (0.5709, 0.4364, 0.2708)
Br (0.9539, 0.0676, 0.1860)
Br (0.9792, 0.5281, 0.6791)

---

Density functional theory data (PBE-GGA) for crystalline Li2GeBr6 at its relaxed geometry.

The calculation puts the energy above the most stable polymorph in this dataset at 0 meV/atom. The raw formation energy comes out at -89 kJ per mole of atoms.

Lattice parameters (Å, degrees): 10.5685 10.5685 6.2887 107.20 107.20 91.76
Element x y z (fractional)
Li (0.1771, 0.3135, 0.0076)
Li (0.3135, 0.1771, 0.5076)
Li (0.6865, 0.8229, 0.4924)
Li (0.8229, 0.6865, 0.9924)
Ge (0.2535, 0.7465, 0.2500)
Ge (0.7465, 0.2535, 0.7500)
Br (0.0699, 0.7348, 0.9248)
Br (0.1603, 0.3305, 0.6228)
Br (0.2399, 0.5612, 0.3759)
Br (0.2652, 0.9301, 0.5752)
Br (0.3305, 0.1603, 0.1228)
Br (0.4388, 0.7601, 0.1241)
Br (0.5612, 0.2399, 0.8759)
Br (0.6695, 0.8397, 0.8772)
Br (0.7348, 0.0699, 0.4248)
Br (0.7601, 0.4388, 0.6241)
Br (0.8397, 0.6695, 0.3772)
Br (0.9301, 0.2652, 0.0752)

---

Density functional theory data (PBE-GGA) for crystalline LiGeBr3 at its relaxed geometry.

The raw formation energy comes out at -65 kJ per mole of atoms.

Lattice parameters (Å, degrees): 5.4867 5.4867 5.4867 90.00 90.00 90.00
Element x y z (fractional)
Li (0.0000, 0.0000, 0.0000)
Ge (0.5000, 0.5000, 0.5000)
Br (0.0000, 0.5000, 0.5000)
Br (0.5000, 0.0000, 0.5000)
Br (0.5000, 0.5000, 0.0000)

---

Density functional theory data (PBE-GGA) for crystalline Li2GeBr4 at its relaxed geometry.

The calculation puts the energy above the most stable polymorph in this dataset at 191 meV/atom. The raw formation energy comes out at -87 kJ per mole of atoms.

Lattice parameters (Å, degrees): 8.0001 8.0001 8.0001 139.57 139.57 58.51
Element x y z (fractional)
Li (0.1319, 0.1319, 0.0000)
Li (0.8681, 0.8681, 0.0000)
Ge (0.5000, 0.5000, 0.0000)
Br (0.0000, 0.5000, 0.5000)
Br (0.3044, 0.3044, 0.0000)
Br (0.5000, 0.0000, 0.5000)
Br (0.6956, 0.6956, 0.0000)

---

Density functional theory data (PBE-GGA) for crystalline Li3Ge5Br12 at its relaxed geometry.

The raw formation energy comes out at -58 kJ per mole of atoms.

Lattice parameters (Å, degrees): 15.1325 15.1325 15.1325 109.47 109.47 109.47
Element x y z (fractional)
Li (0.1250, 0.2500, 0.3750)
Li (0.1250, 0.3750, 0.7500)
Li (0.2500, 0.3750, 0.1250)
Li (0.2500, 0.8750, 0.6250)
Li (0.3750, 0.1250, 0.2500)
Li (0.3750, 0.7500, 0.1250)
Li (0.6250, 0.2500, 0.8750)
Li (0.6250, 0.8750, 0.7500)
Li (0.7500, 0.1250, 0.3750)
Li (0.7500, 0.6250, 0.8750)
Li (0.8750, 0.6250, 0.2500)
Li (0.8750, 0.7500, 0.6250)
Ge (0.0000, 0.0000, 0.0000)
Ge (0.0000, 0.0000, 0.5000)
Ge (0.0000, 0.5000, 0.0000)
Ge (0.0000, 0.5000, 0.5000)
Ge (0.1250, 0.7500, 0.8750)
Ge (0.1250, 0.8750, 0.2500)
Ge (0.2500, 0.1250, 0.8750)
Ge (0.2500, 0.6250, 0.3750)
Ge (0.3750, 0.2500, 0.6250)
Ge (0.3750, 0.6250, 0.7500)
Ge (0.5000, 0.0000, 0.0000)
Ge (0.5000, 0.0000, 0.5000)
Ge (0.5000, 0.5000, 0.0000)
Ge (0.5000, 0.5000, 0.5000)
Ge (0.6250, 0.3750, 0.2500)
Ge (0.6250, 0.7500, 0.3750)
Ge (0.7500, 0.3750, 0.6250)
Ge (0.7500, 0.8750, 0.1250)
Ge (0.8750, 0.1250, 0.7500)
Ge (0.8750, 0.2500, 0.1250)
Br (0.0377, 0.2083, 0.1335)
Br (0.0377, 0.3294, 0.9042)
Br (0.0748, 0.7083, 0.6706)
Br (0.0748, 0.8665, 0.4042)
Br (0.0958, 0.6335, 0.4252)
Br (0.0958, 0.9623, 0.6706)
Br (0.1335, 0.0377, 0.2083)
Br (0.1335, 0.5958, 0.9252)
Br (0.1706, 0.2083, 0.5748)
Br (0.1706, 0.4623, 0.5958)
Br (0.2083, 0.1335, 0.0377)
Br (0.2083, 0.5748, 0.1706)
Br (0.2917, 0.3294, 0.9252)
Br (0.2917, 0.4623, 0.3665)
Br (0.3294, 0.9042, 0.0377)
Br (0.3294, 0.9252, 0.2917)
Br (0.3665, 0.2917, 0.4623)
Br (0.3665, 0.5748, 0.9042)
Br (0.4042, 0.0748, 0.8665)
Br (0.4042, 0.8294, 0.5377)
Br (0.4252, 0.0958, 0.6335)
Br (0.4252, 0.8294, 0.7917)
Br (0.4623, 0.3665, 0.2917)
Br (0.4623, 0.5958, 0.1706)
Br (0.5377, 0.4042, 0.8294)
Br (0.5377, 0.6335, 0.7083)
Br (0.5748, 0.1706, 0.2083)
Br (0.5748, 0.9042, 0.3665)
Br (0.5958, 0.1706, 0.4623)
Br (0.5958, 0.9252, 0.1335)
Br (0.6335, 0.4252, 0.0958)
Br (0.6335, 0.7083, 0.5377)
Br (0.6706, 0.0748, 0.7083)
Br (0.6706, 0.0958, 0.9623)
Br (0.7083, 0.5377, 0.6335)
Br (0.7083, 0.6706, 0.0748)
Br (0.7917, 0.4252, 0.8294)
Br (0.7917, 0.8665, 0.9623)
Br (0.8294, 0.5377, 0.4042)
Br (0.8294, 0.7917, 0.4252)
Br (0.8665, 0.4042, 0.0748)
Br (0.8665, 0.9623, 0.7917)
Br (0.9042, 0.0377, 0.3294)
Br (0.9042, 0.3665, 0.5748)
Br (0.9252, 0.1335, 0.5958)
Br (0.9252, 0.2917, 0.3294)
Br (0.9623, 0.6706, 0.0958)
Br (0.9623, 0.7917, 0.8665)

---

Density functional theory data (PBE-GGA) for crystalline LiGe2Br6 at its relaxed geometry.

The raw formation energy comes out at -69 kJ per mole of atoms.

Lattice parameters (Å, degrees): 10.1282 10.1282 9.9188 119.11 119.11 81.13
Element x y z (fractional)
Li (0.1819, 0.8181, 0.7500)
Li (0.8181, 0.1819, 0.2500)
Ge (0.2654, 0.3827, 0.4355)
Ge (0.3827, 0.2654, 0.9355)
Ge (0.6173, 0.7346, 0.0645)
Ge (0.7346, 0.6173, 0.5645)
Br (0.0625, 0.1713, 0.2196)
Br (0.1213, 0.6038, 0.4416)
Br (0.1713, 0.0625, 0.7196)
Br (0.3520, 0.3778, 0.7350)
Br (0.3778, 0.3520, 0.2350)
Br (0.3962, 0.8787, 0.0584)
Br (0.6038, 0.1213, 0.9416)
Br (0.6222, 0.6480, 0.7650)
Br (0.6480, 0.6222, 0.2650)
Br (0.8287, 0.9375, 0.2804)
Br (0.8787, 0.3962, 0.5584)
Br (0.9375, 0.8287, 0.7804)

---

Density functional theory data (PBE-GGA) for crystalline LiGeBr4 at its relaxed geometry.

The raw formation energy comes out at -76 kJ per mole of atoms.

Lattice parameters (Å, degrees): 10.6457 10.6457 9.8360 101.46 101.46 25.51
Element x y z (fractional)
Li (0.2355, 0.2355, 0.0940)
Li (0.7645, 0.7645, 0.9060)
Ge (0.4133, 0.4133, 0.7631)
Ge (0.5867, 0.5867, 0.2369)
Br (0.1056, 0.1056, 0.1394)
Br (0.2304, 0.2304, 0.8354)
Br (0.3564, 0.3564, 0.5331)
Br (0.4738, 0.4738, 0.2381)
Br (0.5262, 0.5262, 0.7619)
Br (0.6436, 0.6436, 0.4669)
Br (0.7696, 0.7696, 0.1646)
Br (0.8944, 0.8944, 0.8606)

---

Density functional theory data (PBE-GGA) for crystalline Li2GeBr6 at its relaxed geometry.

The calculation puts the energy above the most stable polymorph in this dataset at 39 meV/atom. The raw formation energy comes out at -86 kJ per mole of atoms.

Lattice parameters (Å, degrees): 6.6391 7.2090 12.3764 90.00 117.67 90.00
Element x y z (fractional)
Li (0.1255, 0.1163, 0.1483)
Li (0.1255, 0.3837, 0.6483)
Li (0.8745, 0.6163, 0.3517)
Li (0.8745, 0.8837, 0.8517)
Ge (0.5000, 0.0000, 0.0000)
Ge (0.5000, 0.5000, 0.5000)
Br (0.1561, 0.0667, 0.7905)
Br (0.1561, 0.4333, 0.2905)
Br (0.2428, 0.6889, 0.5576)
Br (0.2428, 0.8111, 0.0576)
Br (0.4114, 0.2193, 0.5851)
Br (0.4114, 0.2807, 0.0851)
Br (0.5886, 0.7193, 0.9149)
Br (0.5886, 0.7807, 0.4149)
Br (0.7572, 0.1889, 0.9424)
Br (0.7572, 0.3111, 0.4424)
Br (0.8439, 0.5667, 0.7095)
Br (0.8439, 0.9333, 0.2095)

---

Density functional theory data (PBE-GGA) for crystalline LiGeBr3 at its relaxed geometry.

The raw formation energy comes out at -84 kJ per mole of atoms.

Lattice parameters (Å, degrees): 7.1517 4.1855 11.7340 90.00 105.81 90.00
Element x y z (fractional)
Li (0.0396, 0.2500, 0.3081)
Li (0.9604, 0.7500, 0.6919)
Ge (0.4452, 0.2500, 0.8096)
Ge (0.5548, 0.7500, 0.1904)
Br (0.1942, 0.2500, 0.6135)
Br (0.2499, 0.7500, 0.2898)
Br (0.2564, 0.7500, 0.8917)
Br (0.7436, 0.2500, 0.1083)
Br (0.7501, 0.2500, 0.7102)
Br (0.8058, 0.7500, 0.3865)

---

Density functional theory data (PBE-GGA) for crystalline LiGe3Br at its relaxed geometry.

The calculation puts the energy above the most stable polymorph in this dataset at 0 meV/atom. The raw formation energy comes out at 44 kJ per mole of atoms.

Lattice parameters (Å, degrees): 4.7798 4.7798 4.7798 90.00 90.00 90.00
Element x y z (fractional)
Li (0.0000, 0.0000, 0.0000)
Ge (0.0000, 0.0000, 0.5000)
Ge (0.0000, 0.5000, 0.0000)
Ge (0.5000, 0.0000, 0.0000)
Br (0.5000, 0.5000, 0.5000)